# SbS

An optimized crystal structure of SbS (PBE-GGA, Alexandria).

Values from the calculation:
* E_form (uncorrected): -102 meV/atom
* M_tot: 0.00 μB per formula unit

Lattice parameters (Å, degrees): 5.974 8.646 8.896 90.00 90.00 90.00
Space group P2_12_12_1 (No. 19)
One atom of each set of equivalent atoms:
Sb  0.061  0.147  0.201 (multiplicity 4)
Sb  0.199  0.450  0.590 (multiplicity 4)
S  0.057  0.886  0.440 (multiplicity 4)
S  0.161  0.707  0.866 (multiplicity 4)